[1]
Density functional theory data (PBE) for a relaxed structure of Pm2H5.

Values from the calculation:
* magnetic moment: 0.00 μB/cell

POSCAR file:
```
Pm2H5
1.0
-4.398 2.076 0.821
-2.460 -5.062 -0.375
4.106 0.757 5.270
H Pm
10 4
Direct
0.006 0.256 0.512
0.417 0.080 0.834
0.750 0.500 0.000
0.583 0.920 0.166
0.250 0.500 0.000
0.494 0.744 0.488
0.994 0.744 0.488
0.917 0.754 0.834
0.083 0.246 0.166
0.506 0.256 0.512
0.120 0.883 0.241
0.620 0.358 0.241
0.380 0.642 0.759
0.880 0.117 0.759
```

[2]
Density functional theory data (PBE) for a relaxed structure of Pm3H2.

Values from the calculation:
* magnetic moment: 0.00 μB/cell

POSCAR file:
```
Pm3H2
1.0
6.450 0.000 0.000
3.225 5.586 0.000
3.225 1.862 5.732
H Pm
4 6
Direct
0.333 0.333 0.000
0.833 0.833 0.500
0.667 0.667 0.000
0.167 0.167 0.500
0.750 0.418 0.750
0.250 0.582 0.250
0.082 0.750 0.750
0.918 0.250 0.250
0.418 0.082 0.750
0.582 0.918 0.250
```

[3]
Density functional theory data (PBE) for a relaxed structure of Pm8H.

Values from the calculation:
* magnetic moment: 0.00 μB/cell

POSCAR file:
```
Pm8H
1.0
7.411 0.000 0.000
-3.705 6.418 0.000
0.000 0.000 5.867
Pm H
8 1
Direct
0.000 0.500 0.018
0.664 0.332 0.501
0.498 0.497 0.999
0.168 0.332 0.501
0.003 0.002 0.999
0.667 0.833 0.482
0.168 0.836 0.501
0.498 0.002 0.999
0.333 0.167 0.250
```

Total energy values (in eV/atom) by entry order: -4.345 -4.458 -4.645.